(1)
An optimized crystal structure of Li7Cd2In3, computed with PBE-GGA.

Results
Space group   P2/m, No. 10
E_form   -0.1630 eV per atom
Calculated volume   242.52 Å³ per cell

Lattice parameters (Å, degrees): 3.2307 4.7496 15.9789 98.47 90.00 90.00
Last column: nearest neighbours and their distance in Å.
Fractional coordinates of all 12 atoms:
Li 0.5000 0.0944 0.1826  2 Cd 2.86-2.87, 4 Li 2.95
In 0.0000 0.1882 0.3748  8 Li 3.08-3.44, 4 Cd 3.21, 2 In 3.23
Li 0.5000 0.7303 0.4595  2 Li 2.70, 1 Cd 2.78
Li 0.5000 0.9056 0.8174  2 Cd 2.86-2.87, 4 Li 2.95
Li 0.0000 0.5737 0.1408  2 In 2.75, 2 Cd 2.78, 4 Li 2.95
Li 0.0000 0.4263 0.8592  2 In 2.75, 2 Cd 2.78, 4 Li 2.95
Li 0.0000 0.0000 0.0000  4 In 2.87
Cd 0.5000 0.3560 0.7161  5 Li 2.78-2.87
In 0.0000 0.8118 0.6252  8 Li 3.08-3.44, 4 Cd 3.21, 2 In 3.23
Cd 0.5000 0.6440 0.2839  5 Li 2.78-2.87
Li 0.5000 0.2697 0.5405  2 Li 2.70, 1 Cd 2.78
In 0.5000 0.5000 0.0000  8 Li 2.75-2.87

(2)
An optimized crystal structure of Tl2CdPt, computed with PBE-GGA.

Results
E above lowest polymorph   0.039 eV per atom
Space group   Cm, No. 8
E_form   -0.0383 eV per atom
Calculated volume   105.82 Å³ per cell

Lattice parameters (Å, degrees): 5.1781 5.1781 6.4942 64.88 64.88 43.08
Last column: nearest neighbours and their distance in Å.
Fractional coordinates of all 4 atoms:
Tl 0.7517 0.7517 0.7193  2 Pt 2.85
Pt 0.2616 0.2616 0.3851  3 Cd 2.77-2.79, 4 Tl 2.85-2.87
Cd 0.5547 0.5547 0.3675  3 Pt 2.77-2.79
Tl 0.9321 0.9321 0.0280  2 Pt 2.87, 1 Tl 3.20

(3)
An optimized crystal structure of PmEr2ZrSc4, computed with PBE-GGA.

Results
Space group   P2/m, No. 10
E_form   0.0547 eV per atom
Calculated volume   213.03 Å³ per cell

Lattice parameters (Å, degrees): 4.7710 4.7822 10.4866 62.92 90.00 90.00
Last column: nearest neighbours and their distance in Å.
Fractional coordinates of all 8 atoms:
Sc 0.5000 0.7375 0.2625  2 Zr 3.26, 4 Er 3.26-3.42, 4 Sc 3.38, 2 Pm 3.42-3.43
Sc 0.0000 0.7624 0.7375  4 Er 3.26-3.43, 2 Zr 3.26, 4 Sc 3.38, 2 Pm 3.42
Sc 0.0000 0.2376 0.2625  4 Er 3.26-3.43, 2 Zr 3.26, 4 Sc 3.38, 2 Pm 3.42
Er 0.0000 0.0000 0.0000  4 Pm 3.38, 8 Sc 3.42-3.43
Sc 0.5000 0.2625 0.7375  2 Zr 3.26, 4 Er 3.26-3.42, 4 Sc 3.38, 2 Pm 3.42-3.43
Zr 0.0000 0.5000 0.5000  8 Sc 3.26, 4 Er 3.38
Pm 0.5000 0.5000 0.0000  4 Er 3.38, 8 Sc 3.42-3.43
Er 0.5000 0.0000 0.5000  8 Sc 3.26, 4 Zr 3.38

(4)
An optimized crystal structure of Tm2PuRu, computed with PBE-GGA.

Results
E above lowest polymorph   0.405 eV per atom
Space group   R-3m, No. 166
E_form   0.1455 eV per atom
Calculated volume   103.84 Å³ per cell

Lattice parameters (Å, degrees): 3.3737 3.3737 10.7127 80.94 80.94 60.00
Last column: nearest neighbours and their distance in Å.
Fractional coordinates of all 4 atoms:
Ru 0.5000 0.5000 0.5000  6 Tm 2.76
Tm 0.8951 0.8951 0.3147  3 Ru 2.76
Tm 0.1049 0.1049 0.6853  3 Ru 2.76
Pu 0.0000 0.0000 0.0000  2 Tm 3.31, 6 Pu 3.37

(5)
An optimized crystal structure of Sr2HgSbS5, computed with PBE-GGA.

Results
Space group   Cmc2_1, No. 36
Energy   -0.303 Ry per atom
Calculated volume   475.69 Å³ per cell

Lattice parameters (Å, degrees): 4.2811 9.8166 11.5982 90.00 90.00 102.59
Last column: nearest neighbours and their distance in Å.
Fractional coordinates of all 18 atoms:
Sr 0.1042 0.2084 0.6785  7 S 3.08-3.16
S 0.6344 0.2688 0.4947  1 Hg 2.45
Sr 0.1102 0.2205 0.3090  7 S 3.07-3.30
S 0.0401 0.0803 0.0488  2 Sb 2.51
S 0.4955 0.9910 0.2840  1 Sb 2.53
Sb 0.4174 0.8349 0.4594  4 S 2.42-2.53
S 0.6826 0.3651 0.1451  2 Hg 2.61, 1 Sb 2.88
S 0.3174 0.6349 0.6451  2 Hg 2.61, 1 Sb 2.88
Sr 0.8898 0.7795 0.8090  7 S 3.07-3.30
S 0.5045 0.0090 0.7840  1 Sb 2.53
Hg 0.2468 0.4936 0.0731  3 S 2.45-2.61
S 0.9599 0.9197 0.5488  2 Sb 2.51
Sb 0.5826 0.1651 0.9594  4 S 2.42-2.53
S 0.3656 0.7312 0.9947  1 Hg 2.45
Sr 0.8958 0.7916 0.1785  7 S 3.08-3.16
Hg 0.7532 0.5064 0.5731  3 S 2.45-2.61
S 0.3176 0.6352 0.3314  1 Sb 2.42
S 0.6824 0.3648 0.8314  1 Sb 2.42

(6)
An optimized crystal structure of AlCdW, computed with PBE-GGA.

Results
E above lowest polymorph   0.121 eV per atom
Space group   P-6m2, No. 187
E_form   0.4321 eV per atom
Calculated volume   50.92 Å³ per cell

Lattice parameters (Å, degrees): 4.6075 4.6075 2.7697 90.00 90.00 120.00
Last column: nearest neighbours and their distance in Å.
Fractional coordinates of all 3 atoms:
W 0.3333 0.6667 0.6668  2 W 2.77, 6 Al 3.00, 6 Cd 3.00
Al 0.0000 0.0000 0.1664  3 Cd 2.66, 2 Al 2.77
Cd 0.6667 0.3333 0.1667  3 Al 2.66, 2 Cd 2.77

(7)
An optimized crystal structure of LiHg7, computed with PBE-GGA.

Results
E above lowest polymorph   0.017 eV per atom
Space group   Fm-3m, No. 225
E_form   -0.0647 eV per atom
Calculated volume   199.93 Å³ per cell

Lattice parameters (Å, degrees): 6.5634 6.5634 6.5634 60.00 60.00 60.00
Last column: nearest neighbours and their distance in Å.
Fractional coordinates of all 8 atoms:
Hg 0.5000 0.0000 0.5000  10 Hg 3.28, 2 Li 3.28
Hg 0.0000 0.5000 0.5000  10 Hg 3.28, 2 Li 3.28
Li 0.0000 0.0000 0.0000  12 Hg 3.28
Hg 0.0000 0.5000 0.0000  2 Li 3.28, 10 Hg 3.28
Hg 0.0000 0.0000 0.5000  10 Hg 3.28, 2 Li 3.28
Hg 0.5000 0.5000 0.5000  12 Hg 3.28
Hg 0.5000 0.0000 0.0000  10 Hg 3.28, 2 Li 3.28
Hg 0.5000 0.5000 0.0000  10 Hg 3.28, 2 Li 3.28

(8)
An optimized crystal structure of GaCu5Pd2, computed with PBE-GGA.

Results
Space group   Pbam, No. 55
E_form   -0.2225 eV per atom
Calculated volume   210.72 Å³ per cell

Lattice parameters (Å, degrees): 3.7397 5.3153 10.6010 90.00 90.00 90.00
Last column: nearest neighbours and their distance in Å.
Fractional coordinates of all 16 atoms:
Cu 0.0000 0.4779 0.7486  7 Cu 2.61-2.66, 4 Pd 2.67-2.69, 1 Ga 2.67
Cu 0.0000 0.9779 0.7514  7 Cu 2.61-2.66, 4 Pd 2.67-2.69, 1 Ga 2.67
Cu 0.5000 0.2262 0.8688  6 Cu 2.61-2.63, 4 Pd 2.64-2.68, 2 Ga 2.75
Cu 0.5000 0.7738 0.1312  6 Cu 2.61-2.63, 4 Pd 2.64-2.68, 2 Ga 2.75
Cu 0.0000 0.0221 0.2486  7 Cu 2.61-2.66, 4 Pd 2.67-2.69, 1 Ga 2.67
Cu 0.5000 0.2738 0.3688  6 Cu 2.61-2.63, 4 Pd 2.64-2.68, 2 Ga 2.75
Ga 0.0000 0.0000 0.5000  4 Pd 2.57, 8 Cu 2.66-2.75
Pd 0.5000 0.2703 0.1195  2 Ga 2.57, 10 Cu 2.64-2.69
Cu 0.0000 0.0000 0.0000  6 Cu 2.62-2.64, 2 Ga 2.66, 4 Pd 2.68
Cu 0.0000 0.5000 0.5000  6 Cu 2.62-2.64, 2 Ga 2.66, 4 Pd 2.68
Pd 0.5000 0.2297 0.6195  2 Ga 2.57, 10 Cu 2.64-2.69
Cu 0.0000 0.5221 0.2514  7 Cu 2.61-2.66, 4 Pd 2.67-2.69, 1 Ga 2.67
Pd 0.5000 0.7703 0.3805  2 Ga 2.57, 10 Cu 2.64-2.69
Ga 0.0000 0.5000 0.0000  4 Pd 2.57, 8 Cu 2.66-2.75
Pd 0.5000 0.7297 0.8805  2 Ga 2.57, 10 Cu 2.64-2.69
Cu 0.5000 0.7262 0.6312  6 Cu 2.61-2.63, 4 Pd 2.64-2.68, 2 Ga 2.75